First-principles (PBEsol) data for an optimized crystal structure of MnCr2B2, as listed in Alexandria.

Summary:
Final energy   -9.34 eV/atom
ΔH_f (0 K)   -0.484 eV/atom

Cell lengths 2.8397, 5.4727, 5.4727 Å; angles 90.00, 90.00, 90.00 degrees
With the nearest neighbours (Å) after each atom.
Positions (direct):
1 Cr 0.5000 0.1741 0.6741  6 B 2.15-2.16
2 Cr 0.5000 0.6741 0.8259  6 B 2.15-2.16
3 Cr 0.5000 0.8259 0.3259  6 B 2.15-2.16
4 Cr 0.5000 0.3259 0.1741  6 B 2.15-2.16
5 B 0.0000 0.3832 0.8832  1 B 1.81
6 B 0.0000 0.8832 0.6168  1 B 1.81
7 B 0.0000 0.6168 0.1168  1 B 1.81
8 B 0.0000 0.1168 0.3832  1 B 1.81
9 Mn 0.0000 0.0000 0.0000  4 B 2.19
10 Mn 0.0000 0.5000 0.5000  4 B 2.19

---

First-principles (PBEsol) data for an optimized crystal structure of Na2MnCrB, as listed in Alexandria.

Summary:
Final energy   -4.79 eV/atom
ΔH_f (0 K)   1.176 eV/atom

Cell lengths 3.9409, 5.0099, 5.0099 Å; angles 90.00, 90.00, 90.00 degrees
With the nearest neighbours (Å) after each atom.
Positions (direct):
1 Cr 0.5000 0.5000 0.5000  8 Na 3.19, 4 Mn 3.54
2 B 0.0000 0.0000 0.0000  2 Mn 1.97
3 Mn 0.5000 0.0000 0.0000  2 B 1.97
4 Na 0.0000 0.0000 0.5000  2 B 2.50
5 Na 0.0000 0.5000 0.0000  2 B 2.50